Sc5Tl3: single point on PBEsol structure, meta-GGA SCAN.

The calculation puts the density at 7.679 g cm⁻³. For the formation energy, the calculation gives -48.8 kJ/mol of atoms. The total energy is -584.61 eV/cell. As for the symmetry: I4/mcm (140). The value obtained for the relative energy among the computed polymorphs is 3.7 meV/atom.

Lattice parameters (Å, degrees): 5.7033 8.4658 8.4658 83.49 70.32 70.32
Atoms (fractional coordinates):
Sc (0.7500, 0.5000, 0.5000)
Sc (0.2785, 0.1411, 0.3018)
Sc (0.2500, 0.5000, 0.5000)
Sc (0.9196, 0.8589, 0.3018)
Sc (0.5804, 0.6982, 0.1411)
Sc (0.2215, 0.6982, 0.8589)
Sc (0.7215, 0.8589, 0.6982)
Sc (0.7785, 0.3018, 0.1411)
Sc (0.4196, 0.3018, 0.8589)
Sc (0.0804, 0.1411, 0.6982)
Tl (0.2500, 0.0000, 0.0000)
Tl (0.1623, 0.5000, 0.1754)
Tl (0.7500, 0.0000, 0.0000)
Tl (0.6623, 0.1754, 0.5000)
Tl (0.8377, 0.5000, 0.8246)
Tl (0.3377, 0.8246, 0.5000)